Entry 1:
An optimized crystal structure of HfCdO3. Source: OQMD, functional GGA-PBE.

Uncorrected energy, eV/atom: -7.43

Cell and atoms, written as extended XYZ:
```
20
Lattice="5.763 0.000 0.000 0.000 7.943 0.000 0.000 0.000 5.597" Properties=species:S:1:pos:R:3 pbc="T T T"
Hf 0.169 1.986 0.064
Hf 2.712 5.957 2.863
Hf 3.050 1.986 2.734
Hf 5.594 5.957 5.532
Cd 0.000 0.000 2.798
Cd 0.000 3.972 2.798
Cd 2.881 0.000 0.000
Cd 2.881 3.972 0.000
O 0.807 5.957 3.807
O 0.879 4.580 0.868
O 0.879 7.334 0.868
O 2.002 0.609 3.666
O 2.002 3.363 3.666
O 2.074 1.986 1.008
O 3.689 5.957 4.588
O 3.761 4.580 1.931
O 3.761 7.334 1.931
O 4.883 0.609 4.729
O 4.883 3.363 4.729
O 4.956 1.986 1.790
```



Entry 2:
An optimized crystal structure of NaSrNdS3. Source: OQMD, functional GGA-PBE.

Uncorrected energy, eV/atom: -5.21

Cell and atoms, written as extended XYZ:
```
12
Lattice="8.744 -2.041 0.000 8.744 2.041 0.000 -2.271 0.000 8.451" Properties=species:S:1:pos:R:3 pbc="T T T"
Na -0.410 0.000 1.716
Na 15.627 0.000 6.735
Sr 5.420 0.000 3.660
Sr 9.797 0.000 4.791
Nd 3.767 0.000 7.670
Nd 11.450 0.000 0.781
S -1.136 0.000 4.225
S 0.977 0.000 7.255
S 2.391 0.000 2.722
S 8.744 0.000 0.000
S 12.826 0.000 5.729
S 14.240 0.000 1.196
```



Entry 3:
An optimized crystal structure of LiYAu2. Source: OQMD, functional GGA-PBE.

Uncorrected energy, eV/atom: -4.43

Cell and atoms, written as extended XYZ:
```
4
Lattice="3.490 0.000 0.000 0.000 3.490 0.000 0.000 0.000 6.497" Properties=species:S:1:pos:R:3 pbc="T T T"
Li 0.000 0.000 0.000
Y 0.000 0.000 3.248
Au 1.745 1.745 1.441
Au 1.745 1.745 5.055
```



Question: Number 1 is which compound?
Answer: HfCdO3



Question: Number 2 is which compound?
Answer: NaSrNdS3